# 1
The following is a DFT calculation (PBE) of Zn3Ni3H2 after structural relaxation.

a = 2.6394 Å, b = 4.2585 Å, c = 15.1328 Å
α = 90.00°, β = 90.00°, γ = 90.00°
Space group Immm (No. 71)
Inequivalent atoms, fractional coordinates:
Zn: 0.0000 0.0000 0.0000 (multiplicity 2)
Zn: 0.0000 0.5000 0.1459 (multiplicity 4)
Ni: 0.0000 0.0000 0.5000 (multiplicity 2)
Ni: 0.0000 0.5000 0.3617 (multiplicity 4)
H: 0.0000 0.0000 0.2028 (multiplicity 4)

Computed properties:
- E_tot: -3.570 eV per atom
- Mass density: 7.309 Mg/m³

# 2
The following is a DFT calculation (PBE) of ZnNi3H after structural relaxation.

a = 4.3869 Å, b = 4.3869 Å, c = 18.5962 Å
α = 90.00°, β = 90.00°, γ = 120.00°
Space group R-3 (No. 148, hexagonal axes)
Inequivalent atoms, fractional coordinates:
Zn: 0.0000 0.0000 0.1668 (multiplicity 6)
Ni: 0.0011 0.6707 0.9426 (multiplicity 18)
H: 0.0000 0.0000 0.3370 (multiplicity 6)

Computed properties:
- Energy above the most stable polymorph in this dataset: 14.8 kJ per mole of atoms
- Mass density: 7.795 Mg/m³

# 3
The following is a DFT calculation (PBE) of ZnNi3H after structural relaxation.

a = 5.0919 Å, b = 7.4387 Å, c = 5.0759 Å
α = 90.00°, β = 90.00°, γ = 90.00°
Space group Cmcm (No. 63)
Inequivalent atoms, fractional coordinates:
Zn: 0.0000 0.2398 0.2500 (multiplicity 4)
Ni: 0.0000 0.2389 0.7500 (multiplicity 4)
Ni: 0.2499 0.0000 0.0000 (multiplicity 8)
H: 0.0000 0.4638 0.7500 (multiplicity 4)

Computed properties:
- Energy above the most stable polymorph in this dataset: 4.1 kJ per mole of atoms
- Mass density: 8.378 Mg/m³